An optimized crystal structure of Cs2Tb2NpS6. Source: the Alexandria database, functional PBE.

calculated total energy	-67.5	eV/cell
DOS(E_F)	5.6	states/eV/cell
energy relative to the elements, uncorrected	-1.7137	eV/atom

Cell lengths 7.0216, 7.0216, 8.5938 Å; angles 98.07, 98.07, 119.91 degrees
Each line ends with the local moment (μB).
Positions (direct):
S 0.7354 0.7354 0.6763  -0.04
S 0.6130 0.9407 0.3234  -0.04
S 0.9407 0.6130 0.3234  -0.04
Tb 0.3336 0.6664 0.5000  0.01
Cs 0.8309 0.1691 0.0000  0.00
S 0.0593 0.3870 0.6766  -0.04
Tb 0.6664 0.3336 0.5000  0.01
Cs 0.1691 0.8309 0.0000  0.00
Np 0.0000 0.0000 0.5000  3.20
S 0.3870 0.0593 0.6766  -0.04
S 0.2646 0.2646 0.3237  -0.04



An optimized crystal structure of Cs2NpTeS4. Source: the Alexandria database, functional PBE.

calculated total energy	-40.5	eV/cell
DOS(E_F)	12.6	states/eV/cell
energy relative to the elements, uncorrected	-0.7740	eV/atom

Cell lengths 7.2599, 7.2599, 7.2599 Å; angles 106.13, 111.17, 111.17 degrees
Each line ends with the local moment (μB).
Positions (direct):
S 0.5729 0.2881 0.4357  -0.08
S 0.4271 0.8628 0.7153  -0.08
S 0.1476 0.2847 0.7119  -0.08
Te 0.0000 0.5000 0.5000  -0.07
Cs 0.5000 0.7500 0.2500  0.00
Np 0.5000 0.2500 0.7500  3.40
S 0.8524 0.5643 0.1372  -0.08
Cs 0.0000 0.0000 0.0000  0.00



An optimized crystal structure of Cs2ThNpS6. Source: the Alexandria database, functional PBE.

calculated total energy	-121.5	eV/cell
DOS(E_F)	1.6	states/eV/cell
energy relative to the elements, uncorrected	-1.3899	eV/atom

Cell lengths 7.5416, 7.5418, 10.6649 Å; angles 90.00, 90.00, 90.00 degrees
Each line ends with the local moment (μB).
Positions (direct):
S 0.0000 0.7505 0.7600  -0.08
S 0.0000 0.7505 0.2400  -0.08
S 0.5000 0.2495 0.7400  -0.08
Th 0.5000 0.2506 0.0000  -0.04
Np 0.5000 0.2493 0.5000  1.72
Cs 0.0000 0.2503 0.7501  0.00
S 0.2403 0.5108 0.0000  -0.08
S 0.7597 0.5108 0.0000  -0.08
Th 0.0000 0.7494 0.5000  -0.04
S 0.5000 0.2495 0.2600  -0.08
S 0.7398 0.0091 0.5000  -0.08
S 0.2602 0.0091 0.5000  -0.08
S 0.2398 0.9909 0.0000  -0.08
S 0.7602 0.9909 0.0000  -0.08
S 0.2597 0.4892 0.5000  -0.08
Cs 0.5000 0.7497 0.7499  0.00
S 0.7403 0.4892 0.5000  -0.08
Np 0.0000 0.7507 0.0000  1.72
Cs 0.5000 0.7497 0.2501  0.00
Cs 0.0000 0.2503 0.2499  0.00



An optimized crystal structure of Cs2NpTiS6. Source: the Alexandria database, functional PBE.

calculated total energy	-58.5	eV/cell
DOS(E_F)	5.4	states/eV/cell
energy relative to the elements, uncorrected	-1.1143	eV/atom

Cell lengths 7.1448, 7.1448, 7.1448 Å; angles 60.00, 60.00, 60.00 degrees
Each line ends with the local moment (μB).
Positions (direct):
S 0.7561 0.2439 0.7561  -0.16
Cs 0.7500 0.7500 0.7500  0.00
S 0.2439 0.2439 0.7561  -0.16
Cs 0.2500 0.2500 0.2500  0.00
S 0.7561 0.7561 0.2439  -0.16
Np 0.5000 0.5000 0.5000  2.27
S 0.2439 0.7561 0.2439  -0.16
S 0.7561 0.2439 0.2439  -0.16
Ti 0.0000 0.0000 0.0000  0.09
S 0.2439 0.7561 0.7561  -0.16



An optimized crystal structure of Cs2NpTiS4. Source: the Alexandria database, functional PBE.

calculated total energy	-96.5	eV/cell
DOS(E_F)	14.2	states/eV/cell
energy relative to the elements, uncorrected	-1.1512	eV/atom

Cell lengths 6.3659, 8.0166, 13.4668 Å; angles 84.62, 76.33, 66.61 degrees
Each line ends with the local moment (μB).
Positions (direct):
S 0.4189 0.6923 0.4009  -0.05
Np 0.0000 0.0000 0.0000  3.95
S 0.5698 0.1923 0.0991  -0.05
S 0.5122 0.3077 0.5991  -0.05
S 0.2378 0.1923 0.9009  -0.05
Ti 0.5000 0.0000 0.0000  0.69
S 0.8613 0.8077 0.9009  -0.05
Cs 0.1786 0.0000 0.6428  0.01
Cs 0.8214 0.0000 0.3572  0.01
S 0.8887 0.6923 0.5991  -0.05
Np 0.7500 0.5000 0.5000  3.95
Cs 0.9286 0.5000 0.1428  0.01
S 0.1802 0.3077 0.4009  -0.05
Cs 0.5714 0.5000 0.8572  0.01
S 0.3311 0.8077 0.0991  -0.05
Ti 0.2500 0.5000 0.5000  0.69



An optimized crystal structure of CsNpTiS4. Source: the Alexandria database, functional PBE.

calculated total energy	-95.3	eV/cell
DOS(E_F)	15.3	states/eV/cell
energy relative to the elements, uncorrected	-1.3515	eV/atom

Cell lengths 6.6739, 6.7775, 9.6087 Å; angles 90.00, 108.81, 90.00 degrees
Each line ends with the local moment (μB).
Positions (direct):
S 0.5499 0.2500 0.4288  -0.04
S 0.9932 0.4944 0.3114  -0.05
Np 0.2156 0.2500 0.5465  3.77
S 0.4501 0.7500 0.5712  -0.04
Np 0.7844 0.7500 0.4535  3.77
Cs 0.7268 0.7500 0.9391  0.00
Ti 0.7706 0.2500 0.6589  0.22
Cs 0.2732 0.2500 0.0609  0.00
S 0.0068 0.9944 0.6886  -0.05
S 0.0068 0.5056 0.6886  -0.05
S 0.9932 0.0056 0.3114  -0.05
Ti 0.2294 0.7500 0.3411  0.22
S 0.4351 0.7500 0.1942  -0.04
S 0.5649 0.2500 0.8058  -0.04



An optimized crystal structure of Cs2Np3TlS8. Source: the Alexandria database, functional PBE.

calculated total energy	-92.3	eV/cell
DOS(E_F)	25.1	states/eV/cell
energy relative to the elements, uncorrected	-1.1681	eV/atom

Cell lengths 8.1260, 8.1260, 9.6268 Å; angles 65.04, 65.04, 60.00 degrees
Each line ends with the local moment (μB).
Positions (direct):
S 0.3043 0.7610 0.1737  -0.12
Np 0.4977 0.9987 0.0059  3.06
S 0.6849 0.2361 0.8429  -0.14
S 0.2361 0.2361 0.8429  -0.14
Np 0.9987 0.4977 0.0059  3.06
S 0.7194 0.7194 0.8417  -0.12
Cs 0.1369 0.1369 0.5894  -0.01
Tl 0.8862 0.8862 0.3415  -0.02
Np 0.4977 0.4977 0.0059  3.06
S 0.2361 0.6849 0.8429  -0.14
S 0.2754 0.2754 0.1737  -0.11
S 0.7610 0.7610 0.1737  -0.12
S 0.7610 0.3043 0.1737  -0.12
Cs 0.4972 0.4972 0.5083  0.00



An optimized crystal structure of Cs3Np2TlS6. Source: the Alexandria database, functional PBE.

calculated total energy	-69.8	eV/cell
DOS(E_F)	15.8	states/eV/cell
energy relative to the elements, uncorrected	-1.1861	eV/atom

Cell lengths 4.1749, 9.5168, 10.2073 Å; angles 107.21, 101.80, 90.00 degrees
Each line ends with the local moment (μB).
Positions (direct):
S 0.0391 0.2590 0.0781  -0.11
Np 0.1733 0.3393 0.3467  3.31
Cs 0.5000 0.5000 0.0000  -0.01
Np 0.8267 0.6607 0.6533  3.31
Tl 0.5000 0.0000 0.0000  -0.02
S 0.3172 0.4607 0.6343  -0.11
Cs 0.8490 0.1590 0.6980  0.00
Cs 0.1510 0.8410 0.3020  0.00
S 0.9609 0.7410 0.9219  -0.11
S 0.3245 0.8446 0.6490  -0.09
S 0.6755 0.1554 0.3510  -0.09
S 0.6828 0.5393 0.3657  -0.11